# Ce2DyTmAs4 (PBE-GGA, relaxed)
# - formation energy (eV per atom) = -1.472
# - total moment (μB per atom) = 0.1602
# - mass density (g/cm³) = 7.470
data_Ce2DyTmAs4
_symmetry_space_group_name_H-M 'P 1 2/m 1'
_symmetry_Int_Tables_number 10
_symmetry_space_group_name_Hall '-P 2y'
_cell_length_a 7.181
_cell_length_b 4.156
_cell_length_c 7.201
_cell_angle_alpha 90.00
_cell_angle_beta 109.52
_cell_angle_gamma 90.00
loop_
_atom_site_label
_atom_site_type_symbol
_atom_site_fract_x
_atom_site_fract_y
_atom_site_fract_z
_atom_site_occupancy
Ce1 Ce 0.000 0.000 0.000 1
Ce2 Ce 0.000 0.500 0.500 1
Dy1 Dy 0.500 0.000 0.500 1
Tm1 Tm 0.500 0.500 0.000 1
As1 As 0.256 0.500 0.250 1
As2 As 0.257 0.000 0.754 1